CaZrAgIr | GGA-PBE | relaxed

The calculation puts the total energy at -93.57 eV for the cell shown. The calculation puts the energy of formation from the pure elements at -283 meV per atom.

The space group is F-43m (No. 216) and the conventional cell measures 6.853, 6.853 and 6.853 Å, with angles of 90.00, 90.00 and 90.00 degrees. The asymmetric unit holds Ca at (0.000, 0.000, 0.000), Zr at (0.000, 0.000, 0.500), Ag at (0.250, 0.250, 0.250) and Ir at (0.250, 0.250, 0.750).